(1)
# SrTl3B (GGA-PBE, optimized geometry)
data_SrTl3B
_chemical_formula_sum 'Sr1 Tl3 B1'
_symmetry_space_group_name_H-M 'P 1'
_symmetry_Int_Tables_number 1
_cell_length_a 6.2469
_cell_length_b 6.2469
_cell_length_c 6.2469
_cell_angle_alpha 90.00
_cell_angle_beta 90.00
_cell_angle_gamma 90.00
loop_
_symmetry_equiv_pos_as_xyz
'x,y,z'
loop_
_atom_site_label
_atom_site_type_symbol
_atom_site_fract_x
_atom_site_fract_y
_atom_site_fract_z
_atom_site_occupancy
Sr1 Sr 0.0000 0.0000 0.0000 1
Tl1 Tl 0.0000 0.0000 0.5000 1
Tl2 Tl 0.0000 0.5000 0.0000 1
Tl3 Tl 0.5000 0.0000 0.0000 1
B1 B 0.5000 0.5000 0.5000 1
# * ΔE_f: 1526 meV per atom
# * symmetry: No. 221
# * offset from the most stable computed form: 1110 meV per atom



(2)
# CrReRu (GGA-PBE, optimized geometry)
data_CrReRu
_chemical_formula_sum 'Cr1 Re1 Ru1'
_symmetry_space_group_name_H-M 'P 1'
_symmetry_Int_Tables_number 1
_cell_length_a 5.9506
_cell_length_b 5.9506
_cell_length_c 5.9506
_cell_angle_alpha 153.82
_cell_angle_beta 153.82
_cell_angle_gamma 37.36
loop_
_symmetry_equiv_pos_as_xyz
'x,y,z'
loop_
_atom_site_label
_atom_site_type_symbol
_atom_site_fract_x
_atom_site_fract_y
_atom_site_fract_z
_atom_site_occupancy
Cr1 Cr 0.0000 0.0000 0.0000 1
Re1 Re 0.3324 0.3324 0.0000 1
Ru1 Ru 0.6554 0.6554 0.0000 1
# * ΔE_f: 121 meV per atom
# * symmetry: No. 107
# * offset from the most stable computed form: 1 meV per atom



(3)
# K2Al (GGA-PBE, optimized geometry)
data_K2Al
_chemical_formula_sum 'K2 Al1'
_symmetry_space_group_name_H-M 'P 1'
_symmetry_Int_Tables_number 1
_cell_length_a 6.0356
_cell_length_b 6.0356
_cell_length_c 6.0356
_cell_angle_alpha 60.00
_cell_angle_beta 60.00
_cell_angle_gamma 60.00
loop_
_symmetry_equiv_pos_as_xyz
'x,y,z'
loop_
_atom_site_label
_atom_site_type_symbol
_atom_site_fract_x
_atom_site_fract_y
_atom_site_fract_z
_atom_site_occupancy
K1 K 0.2500 0.2500 0.2500 1
K2 K 0.7500 0.7500 0.7500 1
Al1 Al 0.0000 0.0000 0.0000 1
# * ΔE_f: 464 meV per atom
# * symmetry: No. 225
# * offset from the most stable computed form: 325 meV per atom



(4)
# Si2IrRu (GGA-PBE, optimized geometry)
data_Si2IrRu
_chemical_formula_sum 'Si2 Ir1 Ru1'
_symmetry_space_group_name_H-M 'P 1'
_symmetry_Int_Tables_number 1
_cell_length_a 4.1643
_cell_length_b 4.1643
_cell_length_c 4.9457
_cell_angle_alpha 101.35
_cell_angle_beta 101.35
_cell_angle_gamma 39.96
loop_
_symmetry_equiv_pos_as_xyz
'x,y,z'
loop_
_atom_site_label
_atom_site_type_symbol
_atom_site_fract_x
_atom_site_fract_y
_atom_site_fract_z
_atom_site_occupancy
Si1 Si 0.2488 0.2488 0.2438 1
Si2 Si 0.7512 0.7512 0.7562 1
Ir1 Ir 0.0000 0.0000 0.5000 1
Ru1 Ru 0.5000 0.5000 0.0000 1
# * raw formation energy: -436 meV per atom
# * symmetry: No. 12



(5)
# VAg2Ru (GGA-PBE, optimized geometry)
data_VAg2Ru
_chemical_formula_sum 'V2 Ag4 Ru2'
_symmetry_space_group_name_H-M 'P 1'
_symmetry_Int_Tables_number 1
_cell_length_a 4.6407
_cell_length_b 2.9456
_cell_length_c 9.2939
_cell_angle_alpha 90.00
_cell_angle_beta 93.63
_cell_angle_gamma 90.00
loop_
_symmetry_equiv_pos_as_xyz
'x,y,z'
loop_
_atom_site_label
_atom_site_type_symbol
_atom_site_fract_x
_atom_site_fract_y
_atom_site_fract_z
_atom_site_occupancy
V1 V 0.0000 0.0000 0.0000 1
V2 V 0.4714 0.0000 0.7802 1
Ag1 Ag 0.2847 0.5000 0.5226 1
Ag2 Ag 0.3813 0.0000 0.2538 1
Ag3 Ag 0.7859 0.0000 0.5269 1
Ag4 Ag 0.8810 0.5000 0.2564 1
Ru1 Ru 0.5048 0.5000 0.9876 1
Ru2 Ru 0.9792 0.5000 0.7925 1
# * ΔE_f: 85 meV per atom
# * symmetry: No. 6
# * offset from the most stable computed form: 125 meV per atom



(6)
# Ba4LiU3O12 (GGA-PBE, optimized geometry)
data_Ba4LiU3O12
_chemical_formula_sum 'Ba4 Li1 U3 O12'
_symmetry_space_group_name_H-M 'P 1'
_symmetry_Int_Tables_number 1
_cell_length_a 7.6002
_cell_length_b 7.6002
_cell_length_c 7.6002
_cell_angle_alpha 109.47
_cell_angle_beta 109.47
_cell_angle_gamma 109.47
loop_
_symmetry_equiv_pos_as_xyz
'x,y,z'
loop_
_atom_site_label
_atom_site_type_symbol
_atom_site_fract_x
_atom_site_fract_y
_atom_site_fract_z
_atom_site_occupancy
Ba1 Ba 0.0000 0.0000 0.5000 1
Ba2 Ba 0.0000 0.5000 0.0000 1
Ba3 Ba 0.5000 0.0000 0.0000 1
Ba4 Ba 0.5000 0.5000 0.5000 1
Li1 Li 0.0000 0.0000 0.0000 1
U1 U 0.0000 0.5000 0.5000 1
U2 U 0.5000 0.0000 0.5000 1
U3 U 0.5000 0.5000 0.0000 1
O1 O 0.0000 0.2672 0.2672 1
O2 O 0.0000 0.7328 0.7328 1
O3 O 0.2500 0.5000 0.7500 1
O4 O 0.2500 0.7500 0.5000 1
O5 O 0.2672 0.0000 0.2672 1
O6 O 0.2672 0.2672 0.0000 1
O7 O 0.5000 0.2500 0.7500 1
O8 O 0.5000 0.7500 0.2500 1
O9 O 0.7328 0.0000 0.7328 1
O10 O 0.7328 0.7328 0.0000 1
O11 O 0.7500 0.2500 0.5000 1
O12 O 0.7500 0.5000 0.2500 1
# * raw formation energy: -3053 meV per atom
# * symmetry: No. 229



(7)
# Y2CdW (GGA-PBE, optimized geometry)
data_Y2CdW
_chemical_formula_sum 'Y4 Cd2 W2'
_symmetry_space_group_name_H-M 'P 1'
_symmetry_Int_Tables_number 1
_cell_length_a 10.8005
_cell_length_b 10.8005
_cell_length_c 10.8005
_cell_angle_alpha 156.48
_cell_angle_beta 156.48
_cell_angle_gamma 33.50
loop_
_symmetry_equiv_pos_as_xyz
'x,y,z'
loop_
_atom_site_label
_atom_site_type_symbol
_atom_site_fract_x
_atom_site_fract_y
_atom_site_fract_z
_atom_site_occupancy
Y1 Y 0.1120 0.6250 0.9870 1
Y2 Y 0.3750 0.3620 0.4870 1
Y3 Y 0.6380 0.1250 0.0130 1
Y4 Y 0.8750 0.8880 0.5130 1
Cd1 Cd 0.2500 0.7500 0.5000 1
Cd2 Cd 0.5000 0.5000 0.0000 1
W1 W 0.0000 0.0000 0.0000 1
W2 W 0.7500 0.2500 0.5000 1
# * ΔE_f: 960 meV per atom
# * symmetry: No. 122



(8)
# Nd2PaAu (GGA-PBE, optimized geometry)
data_Nd2PaAu
_chemical_formula_sum 'Nd2 Pa1 Au1'
_symmetry_space_group_name_H-M 'P 1'
_symmetry_Int_Tables_number 1
_cell_length_a 11.7006
_cell_length_b 11.7006
_cell_length_c 11.7006
_cell_angle_alpha 16.37
_cell_angle_beta 16.37
_cell_angle_gamma 16.37
loop_
_symmetry_equiv_pos_as_xyz
'x,y,z'
loop_
_atom_site_label
_atom_site_type_symbol
_atom_site_fract_x
_atom_site_fract_y
_atom_site_fract_z
_atom_site_occupancy
Nd1 Nd 0.0949 0.0949 0.0949 1
Nd2 Nd 0.9051 0.9051 0.9051 1
Pa1 Pa 0.0000 0.0000 0.0000 1
Au1 Au 0.5000 0.5000 0.5000 1
# * ΔE_f: 128 meV per atom
# * symmetry: No. 166
# * offset from the most stable computed form: 345 meV per atom



(9)
# HfCoTe2I (GGA-PBE, optimized geometry)
data_HfCoTe2I
_chemical_formula_sum 'Hf1 Co1 Te2 I1'
_symmetry_space_group_name_H-M 'P 1'
_symmetry_Int_Tables_number 1
_cell_length_a 5.0258
_cell_length_b 5.0258
_cell_length_c 5.0051
_cell_angle_alpha 90.00
_cell_angle_beta 90.00
_cell_angle_gamma 90.00
loop_
_symmetry_equiv_pos_as_xyz
'x,y,z'
loop_
_atom_site_label
_atom_site_type_symbol
_atom_site_fract_x
_atom_site_fract_y
_atom_site_fract_z
_atom_site_occupancy
Hf1 Hf 0.0000 0.0000 0.0000 1
Co1 Co 0.5000 0.5000 0.5000 1
Te1 Te 0.0000 0.5000 0.5000 1
Te2 Te 0.5000 0.0000 0.5000 1
I1 I 0.5000 0.5000 0.0000 1
# * raw formation energy: 471 meV per atom
# * symmetry: No. 123
# * offset from the most stable computed form: 0 meV per atom



(10)
# TcN (GGA-PBE, optimized geometry)
data_TcN
_chemical_formula_sum 'Tc4 N4'
_symmetry_space_group_name_H-M 'P 1'
_symmetry_Int_Tables_number 1
_cell_length_a 6.0863
_cell_length_b 6.0863
_cell_length_c 6.0863
_cell_angle_alpha 93.31
_cell_angle_beta 93.31
_cell_angle_gamma 152.17
loop_
_symmetry_equiv_pos_as_xyz
'x,y,z'
loop_
_atom_site_label
_atom_site_type_symbol
_atom_site_fract_x
_atom_site_fract_y
_atom_site_fract_z
_atom_site_occupancy
Tc1 Tc 0.1290 0.6868 0.8158 1
Tc2 Tc 0.3132 0.1290 0.4422 1
Tc3 Tc 0.6868 0.8710 0.5578 1
Tc4 Tc 0.8710 0.3132 0.1842 1
N1 N 0.0923 0.2326 0.3249 1
N2 N 0.2326 0.9077 0.1402 1
N3 N 0.7674 0.0923 0.8598 1
N4 N 0.9077 0.7674 0.6751 1
# * raw formation energy: 87 meV per atom
# * symmetry: No. 87
# * offset from the most stable computed form: 82 meV per atom



(11)
# SiPRu (GGA-PBE, optimized geometry)
data_SiPRu
_chemical_formula_sum 'Si2 P2 Ru2'
_symmetry_space_group_name_H-M 'P 1'
_symmetry_Int_Tables_number 1
_cell_length_a 4.1248
_cell_length_b 4.1248
_cell_length_c 5.1327
_cell_angle_alpha 90.00
_cell_angle_beta 90.00
_cell_angle_gamma 90.00
loop_
_symmetry_equiv_pos_as_xyz
'x,y,z'
loop_
_atom_site_label
_atom_site_type_symbol
_atom_site_fract_x
_atom_site_fract_y
_atom_site_fract_z
_atom_site_occupancy
Si1 Si 0.2500 0.2500 0.2170 1
Si2 Si 0.7500 0.7500 0.7830 1
P1 P 0.2500 0.2500 0.7814 1
P2 P 0.7500 0.7500 0.2186 1
Ru1 Ru 0.2500 0.7500 0.5000 1
Ru2 Ru 0.7500 0.2500 0.5000 1
# * raw formation energy: -175 meV per atom
# * symmetry: No. 129



(12)
# Mg2AlAs (GGA-PBE, optimized geometry)
data_Mg2AlAs
_chemical_formula_sum 'Mg2 Al1 As1'
_symmetry_space_group_name_H-M 'P 1'
_symmetry_Int_Tables_number 1
_cell_length_a 5.5726
_cell_length_b 5.5726
_cell_length_c 5.5726
_cell_angle_alpha 137.47
_cell_angle_beta 137.47
_cell_angle_gamma 61.71
loop_
_symmetry_equiv_pos_as_xyz
'x,y,z'
loop_
_atom_site_label
_atom_site_type_symbol
_atom_site_fract_x
_atom_site_fract_y
_atom_site_fract_z
_atom_site_occupancy
Mg1 Mg 0.0000 0.0000 0.0000 1
Mg2 Mg 0.7500 0.2500 0.5000 1
Al1 Al 0.2500 0.7500 0.5000 1
As1 As 0.5000 0.5000 0.0000 1
# * ΔE_f: -102 meV per atom
# * symmetry: No. 119
# * offset from the most stable computed form: 19 meV per atom



Number 1: raw total energy -1.566 eV per atom. Number 2: raw total energy -10.328 eV per atom. Number 3: raw total energy -1.515 eV per atom. Number 4: raw total energy -7.682 eV per atom. Number 5: raw total energy -5.940 eV per atom. Number 6: raw total energy -8.202 eV per atom. Number 7: raw total energy -5.739 eV per atom. Number 8: raw total energy -5.449 eV per atom. Number 9: raw total energy -4.507 eV per atom. Number 10: raw total energy -9.259 eV per atom. Number 11: raw total energy -6.878 eV per atom. Number 12: raw total energy -2.998 eV per atom.